1.
Density functional theory data (meta-GGA SCAN) for a PBEsol-optimized structure of NaCrN2O.

abc: 3.659 3.659 3.761
angles: 90.00 90.00 90.00
Element x y z (fractional)
N: 0.500 0.000 0.000
O: 0.000 0.000 0.500
Cr: 0.000 0.000 0.000
Na: 0.500 0.500 0.500
N: 0.000 0.500 0.000

## Properties
- Fermi-level density of states: 2.77 states/eV per cell
- Formation energy from raw total energies: -0.342 eV per atom
- Calculated volume: 50.35 Å³ per cell

***

2.
Density functional theory data (meta-GGA SCAN) for a PBEsol-optimized structure of TiTe2WN.

abc: 3.622 5.342 5.342
angles: 90.00 90.00 90.00
Element x y z (fractional)
Te: 0.000 0.500 0.000
W: 0.500 0.500 0.500
N: 0.500 0.000 0.000
Ti: 0.000 0.000 0.000
Te: 0.000 0.000 0.500

## Properties
- Fermi-level density of states: 2.25 states/eV per cell
- Formation energy from raw total energies: 0.731 eV per atom
- Calculated volume: 103.38 Å³ per cell

***

3.
Density functional theory data (meta-GGA SCAN) for a PBEsol-optimized structure of Li2VP2HO8.

abc: 4.757 7.945 8.515
angles: 97.33 101.83 105.88
Element x y z (fractional)
O: 0.425 0.933 0.137
O: 0.575 0.067 0.863
H: 0.886 0.466 0.133
Li: 0.671 0.368 0.617
O: 0.248 0.262 0.603
O: 0.100 0.069 0.316
O: 0.752 0.738 0.397
P: 0.907 0.757 0.575
V: 0.409 0.186 0.215
H: 0.114 0.534 0.867
P: 0.159 0.765 0.052
P: 0.093 0.243 0.425
O: 0.901 0.366 0.833
P: 0.841 0.235 0.948
O: 0.133 0.190 0.011
O: 0.867 0.810 0.989
Li: 0.329 0.632 0.383
V: 0.591 0.814 0.785
O: 0.763 0.249 0.407
O: 0.260 0.673 0.905
O: 0.900 0.931 0.684
Li: 0.222 0.141 0.776
Li: 0.778 0.859 0.224
O: 0.740 0.327 0.095
O: 0.099 0.634 0.167
O: 0.283 0.383 0.344
O: 0.717 0.617 0.656
O: 0.237 0.751 0.593

## Properties
- Excess energy over the best structure of this formula in the dataset: 1.17 kcal/mol of atoms
- Calculated volume: 297.11 Å³ per cell

***

4.
Density functional theory data (meta-GGA SCAN) for a PBEsol-optimized structure of NiPb2Se.

abc: 3.793 5.144 5.422
angles: 121.15 90.00 90.00
Element x y z (fractional)
Se: 0.000 0.142 0.570
Ni: 0.500 0.458 0.730
Pb: 0.000 0.875 0.938
Pb: 0.500 0.525 0.263

## Properties
- Fermi-level density of states: 2.26 states/eV per cell
- Formation energy from raw total energies: -0.065 eV per atom
- Calculated volume: 90.53 Å³ per cell

***

5.
Density functional theory data (meta-GGA SCAN) for a PBEsol-optimized structure of Li4Mn3Co2Sn3O16.

abc: 5.959 5.959 9.517
angles: 90.03 90.03 59.88
Element x y z (fractional)
O: 0.149 0.671 0.895
Sn: 0.171 0.171 0.287
O: 0.968 0.534 0.661
O: 0.681 0.681 0.903
Li: 0.984 0.984 0.498
O: 0.534 0.968 0.661
O: 0.499 0.042 0.164
Mn: 0.663 0.172 0.285
O: 0.320 0.826 0.399
Mn: 0.172 0.663 0.285
O: 0.520 0.520 0.656
Co: 0.340 0.340 0.013
O: 0.835 0.835 0.387
Co: 0.670 0.670 0.502
O: 0.483 0.483 0.171
O: 0.042 0.499 0.164
Sn: 0.834 0.340 0.787
Sn: 0.340 0.834 0.787
O: 0.991 0.991 0.682
O: 0.156 0.156 0.914
O: 0.671 0.149 0.895
Li: 0.974 0.974 0.007
Li: 0.341 0.341 0.605
O: 0.826 0.320 0.399
O: 0.991 0.991 0.191
O: 0.347 0.347 0.394
Li: 0.675 0.675 0.117
Mn: 0.833 0.833 0.782

## Properties
- Formation energy from raw total energies: -1.886 eV per atom
- Calculated volume: 292.29 Å³ per cell

***

6.
Density functional theory data (meta-GGA SCAN) for a PBEsol-optimized structure of Tm5Pt3.

abc: 5.934 8.246 8.246
angles: 120.00 90.00 90.00
Element x y z (fractional)
Tm: 0.250 0.754 0.754
Tm: 0.500 0.667 0.333
Pt: 0.750 0.000 0.396
Pt: 0.750 0.396 0.000
Tm: 0.250 0.246 0.000
Tm: 0.750 0.000 0.754
Tm: 0.000 0.667 0.333
Pt: 0.250 0.000 0.604
Pt: 0.250 0.604 0.000
Pt: 0.750 0.604 0.604
Tm: 0.750 0.754 0.000
Pt: 0.250 0.396 0.396
Tm: 0.500 0.333 0.667
Tm: 0.000 0.333 0.667
Tm: 0.250 0.000 0.246
Tm: 0.750 0.246 0.246

## Properties
- Fermi-level density of states: 11.19 states/eV per cell
- DFT formation energy: -10.24 eV per formula unit
- Calculated volume: 349.38 Å³ per cell

***

7.
Density functional theory data (meta-GGA SCAN) for a PBEsol-optimized structure of Zn3Cu.

abc: 4.748 4.748 4.748
angles: 90.00 90.00 90.00
Element x y z (fractional)
Cu: 0.500 0.500 0.500
Zn: 0.000 0.250 0.500
Zn: 0.000 0.750 0.500
Zn: 0.500 0.000 0.250
Zn: 0.250 0.500 0.000
Zn: 0.750 0.500 0.000
Cu: 0.000 0.000 0.000
Zn: 0.500 0.000 0.750

## Properties
- Fermi-level density of states: 3.52 states/eV per cell
- DFT formation energy: 0.09 eV per formula unit
- Calculated volume: 107.04 Å³ per cell

***

8.
Density functional theory data (meta-GGA SCAN) for a PBEsol-optimized structure of CuAgS2.

abc: 5.501 5.501 6.357
angles: 115.64 115.64 90.00
Element x y z (fractional)
Cu: 0.500 0.500 0.000
Ag: 0.250 0.750 0.500
S: 0.125 0.160 0.750
Cu: 0.750 0.250 0.500
S: 0.625 0.590 0.750
Ag: 0.000 0.000 0.000
S: 0.410 0.875 0.250
S: 0.840 0.375 0.250

## Properties
- Fermi-level density of states: 6.03 states/eV per cell
- Formation energy from raw total energies: -0.075 eV per atom
- Calculated volume: 152.14 Å³ per cell

***

9.
Density functional theory data (meta-GGA SCAN) for a PBEsol-optimized structure of HfZnCr2As.

abc: 4.409 4.409 4.476
angles: 90.00 90.00 90.00
Element x y z (fractional)
Zn: 0.000 0.000 0.500
Hf: 0.500 0.500 0.500
Cr: 0.000 0.500 0.000
Cr: 0.500 0.000 0.000
As: 0.000 0.000 0.000

## Properties
- Fermi-level density of states: 3.12 states/eV per cell
- DFT formation energy: 2.93 eV per formula unit
- Calculated volume: 86.99 Å³ per cell

***

10.
Density functional theory data (meta-GGA SCAN) for a PBEsol-optimized structure of SrNbAsSe2.

abc: 4.988 5.053 5.053
angles: 90.00 90.00 90.00
Element x y z (fractional)
Nb: 0.000 0.000 0.000
Sr: 0.500 0.500 0.500
Se: 0.000 0.000 0.500
As: 0.500 0.000 0.000
Se: 0.000 0.500 0.000

## Properties
- Fermi-level density of states: 2.06 states/eV per cell
- Formation energy from raw total energies: -0.911 eV per atom
- Calculated volume: 127.35 Å³ per cell

***

11.
Density functional theory data (meta-GGA SCAN) for a PBEsol-optimized structure of TlCd2Sb2.

abc: 4.441 4.441 7.708
angles: 106.74 106.74 90.00
Element x y z (fractional)
Cd: 0.250 0.750 0.500
Cd: 0.750 0.250 0.500
Tl: 0.000 0.000 0.000
Sb: 0.386 0.386 0.772
Sb: 0.614 0.614 0.228

## Properties
- Fermi-level density of states: 2.24 states/eV per cell
- Formation energy from raw total energies: 0.006 eV per atom
- Calculated volume: 138.80 Å³ per cell

***

12.
Density functional theory data (meta-GGA SCAN) for a PBEsol-optimized structure of Ca2InCl.

abc: 3.935 3.935 8.385
angles: 76.43 76.43 60.00
Element x y z (fractional)
Ca: 0.244 0.244 0.267
Ca: 0.756 0.756 0.733
Cl: 0.500 0.500 0.500
In: 0.000 0.000 0.000

## Properties
- Fermi-level density of states: 1.52 states/eV per cell
- Formation energy from raw total energies: -1.169 eV per atom
- Excess energy over the best structure of this formula in the dataset: 1.84 kcal/mol of atoms
- Calculated volume: 108.25 Å³ per cell

***

13.
Density functional theory data (meta-GGA SCAN) for a PBEsol-optimized structure of AlFe2Hg.

abc: 3.762 3.762 4.768
angles: 113.24 113.24 90.00
Element x y z (fractional)
Hg: 0.500 0.500 0.000
Fe: 0.750 0.250 0.500
Al: 0.000 0.000 0.000
Fe: 0.250 0.750 0.500

## Properties
- Fermi-level density of states: 1.24 states/eV per cell
- DFT formation energy: 0.02 eV per formula unit
- Calculated volume: 56.00 Å³ per cell

***

14.
Density functional theory data (meta-GGA SCAN) for a PBEsol-optimized structure of Ag2HgOs.

abc: 2.788 2.788 8.531
angles: 90.00 90.00 90.00
Element x y z (fractional)
Os: 0.500 0.500 0.759
Hg: 0.000 0.000 0.505
Ag: 0.500 0.500 0.242
Ag: 0.000 0.000 0.995

## Properties
- Fermi-level density of states: 2.04 states/eV per cell
- DFT formation energy: 2.46 eV per formula unit
- Calculated volume: 66.32 Å³ per cell

***

15.
Density functional theory data (meta-GGA SCAN) for a PBEsol-optimized structure of SrAlCoMo2.

abc: 4.398 4.754 4.754
angles: 90.00 90.00 90.00
Element x y z (fractional)
Sr: 0.000 0.000 0.000
Al: 0.500 0.500 0.500
Mo: 0.000 0.000 0.500
Co: 0.500 0.000 0.000
Mo: 0.000 0.500 0.000

## Properties
- Fermi-level density of states: 4.34 states/eV per cell
- DFT formation energy: 13.94 eV per formula unit
- Calculated volume: 99.38 Å³ per cell

***

16.
Density functional theory data (meta-GGA SCAN) for a PBEsol-optimized structure of CaCo2Ge2.

abc: 3.911 3.911 5.806
angles: 109.68 109.68 90.00
Element x y z (fractional)
Ca: 0.000 0.000 0.000
Ge: 0.631 0.631 0.262
Co: 0.750 0.250 0.500
Co: 0.250 0.750 0.500
Ge: 0.369 0.369 0.738

## Properties
- Fermi-level density of states: 1.56 states/eV per cell
- DFT formation energy: -2.26 eV per formula unit
- Calculated volume: 78.09 Å³ per cell

***

17.
Density functional theory data (meta-GGA SCAN) for a PBEsol-optimized structure of Ni2PtRh.

abc: 2.655 4.399 4.399
angles: 105.78 90.00 90.00
Element x y z (fractional)
Ni: 0.000 0.500 0.000
Pt: 0.500 0.000 0.000
Ni: 0.000 0.000 0.500
Rh: 0.500 0.500 0.500

## Properties
- Fermi-level density of states: 4.15 states/eV per cell
- DFT formation energy: -0.24 eV per formula unit
- Calculated volume: 49.45 Å³ per cell

***

18.
Density functional theory data (meta-GGA SCAN) for a PBEsol-optimized structure of MnAlPt.

abc: 4.297 4.297 5.266
angles: 90.00 90.00 120.00
Element x y z (fractional)
Mn: 0.000 0.000 0.000
Al: 0.333 0.667 0.750
Al: 0.667 0.333 0.250
Pt: 0.667 0.333 0.750
Pt: 0.333 0.667 0.250
Mn: 0.000 0.000 0.500

## Properties
- Fermi-level density of states: 2.04 states/eV per cell
- DFT formation energy: -2.95 eV per formula unit
- Calculated volume: 84.23 Å³ per cell

***

19.
Density functional theory data (meta-GGA SCAN) for a PBEsol-optimized structure of Ca10Si3S3Cl2O24.

abc: 6.697 9.728 9.728
angles: 120.00 90.00 90.00
Element x y z (fractional)
O: 0.000 0.870 0.469
Ca: 0.233 0.667 0.333
Ca: 0.225 0.333 0.667
Si: 0.000 0.969 0.372
O: 0.000 0.162 0.488
O: 0.500 0.466 0.598
O: 0.000 0.512 0.673
Ca: 0.767 0.667 0.333
O: 0.500 0.632 0.136
O: 0.678 0.082 0.720
S: 0.500 0.385 0.420
O: 0.802 0.906 0.257
O: 0.198 0.906 0.257
O: 0.198 0.743 0.649
Ca: 0.500 0.247 0.997
Si: 0.000 0.628 0.597
O: 0.000 0.599 0.130
Ca: 0.000 0.974 0.730
O: 0.500 0.864 0.496
O: 0.802 0.743 0.649
O: 0.322 0.082 0.720
O: 0.198 0.351 0.094
O: 0.678 0.638 0.918
O: 0.500 0.132 0.534
O: 0.678 0.280 0.362
Cl: 0.744 0.000 0.000
Ca: 0.775 0.333 0.667
S: 0.500 0.035 0.615
O: 0.500 0.504 0.368
Ca: 0.500 0.750 0.753
Ca: 0.000 0.756 0.026
O: 0.322 0.638 0.918
Ca: 0.500 0.003 0.250
Ca: 0.000 0.270 0.244
Cl: 0.256 0.000 0.000
O: 0.500 0.402 0.868
O: 0.802 0.351 0.094
O: 0.322 0.280 0.362
O: 0.000 0.531 0.401
Si: 0.000 0.403 0.031
O: 0.000 0.327 0.838
S: 0.500 0.580 0.965

## Properties
- Fermi-level density of states: 0.00 states/eV per cell
- Formation energy from raw total energies: -2.915 eV per atom
- Calculated volume: 548.93 Å³ per cell

***

20.
Density functional theory data (meta-GGA SCAN) for a PBEsol-optimized structure of LaOs2W.

abc: 3.014 5.065 5.551
angles: 117.15 105.75 90.00
Element x y z (fractional)
Os: 0.722 0.722 0.444
La: 0.500 0.000 0.000
W: 0.000 0.500 0.000
Os: 0.278 0.278 0.556

## Properties
- Fermi-level density of states: 3.67 states/eV per cell
- DFT formation energy: 2.83 eV per formula unit
- Excess energy over the best structure of this formula in the dataset: 0.00 kcal/mol of atoms
- Calculated volume: 71.82 Å³ per cell

***

Here are the calculated E numbers, same order: -9.824; -33.172; -9.295; -47.019; -12.829; -59.997; -13.914; -16.531; -26.044; -24.062; -41.536; -16.342; -28.040; -50.079; -20.632; -16.941; -34.137; -33.051; -10.560; -63.430 (eV per atom).